Tm6AsP3Se2: relaxed, PBE.

Unit cell a=3.981 b=8.006 c=8.944 alpha=103.40 beta=102.86 gamma=90.00
Sites, in units of the cell vectors:
Tm: 0.332 0.929 0.664
Tm: 0.661 0.595 0.322
Tm: 0.668 0.071 0.336
Tm: 0.996 0.253 0.992
Tm: 0.004 0.747 0.008
Tm: 0.339 0.405 0.678
As: 0.500 0.000 0.000
P: 0.500 0.500 0.000
P: 0.832 0.167 0.664
P: 0.168 0.833 0.336
Se: 0.832 0.664 0.664
Se: 0.168 0.336 0.336


Tm4AsPSe2: relaxed, PBE.

Unit cell a=4.002 b=7.003 c=6.938 alpha=70.70 beta=90.00 gamma=90.00
Sites, in units of the cell vectors:
Tm: 0.000 0.733 0.749
Tm: 0.000 0.267 0.251
Tm: 0.500 0.729 0.263
Tm: 0.500 0.271 0.737
As: 0.500 0.500 0.000
P: 0.000 0.500 0.500
Se: 0.000 0.000 0.000
Se: 0.500 0.000 0.500


It is found that the raw total energy values, taken in the order of the records, are -75.03, -48.46 eV/cell.